BaCaAl2W | Alexandria | PBE | optimized geometry; energy of formation = 886 kJ/mol of formula units
1.0
-1.058 4.773 -2.872
-0.618 -2.853 -4.513
-5.532 -0.558 1.111
Ca Ba W Al
1 1 1 2
direct
0.500 0.500 0.500
0.000 0.000 0.000
0.000 0.500 0.000
0.000 0.000 0.500
0.500 0.000 0.000

Li2YAu3 | Alexandria | PBE | optimized geometry; energy of formation = -384 kJ/mol of formula units; excess energy over the best structure of this formula in the dataset = 0 meV/atom
1.0
-3.885 -2.111 1.056
3.887 -2.351 -0.186
2.029 2.385 12.230
Li Y Au
4 2 6
direct
0.000 0.000 0.500
0.333 0.667 0.141
0.667 0.333 0.859
0.000 0.000 0.000
0.333 0.667 0.681
0.667 0.333 0.319
0.333 0.667 0.440
0.667 0.333 0.076
0.000 0.000 0.794
0.000 0.000 0.206
0.333 0.667 0.924
0.667 0.333 0.560

CdIr2Ru | Alexandria | PBE | optimized geometry; energy of formation = 109 kJ/mol of formula units
1.0
-0.970 0.759 -4.722
3.814 -1.272 -2.766
-2.432 -2.322 3.537
Cd Ir Ru
1 2 1
direct
0.750 0.250 0.500
0.000 0.000 0.000
0.500 0.500 0.000
0.250 0.750 0.500

CePm4Pu3S8 | Alexandria | PBE | optimized geometry; raw formation energy = -1.952 eV per atom
1.0
7.992 0.000 0.000
0.000 8.022 0.015
-3.996 -3.992 5.654
Ce Pm Pu S
1 4 3 8
direct
0.000 0.500 0.000
0.500 0.000 0.000
0.500 0.000 0.500
0.000 0.000 0.000
0.000 0.000 0.500
0.500 0.500 0.000
0.500 0.500 0.500
0.000 0.500 0.500
0.250 0.745 0.995
0.250 0.745 0.499
0.253 0.258 0.505
0.745 0.745 0.995
0.255 0.255 0.005
0.747 0.742 0.495
0.750 0.255 0.501
0.750 0.255 0.005

PrNd2Pt | Alexandria | PBE | optimized geometry; energy of formation = -189 kJ/mol of formula units; excess energy over the best structure of this formula in the dataset = 127 meV/atom
1.0
-1.032 1.944 -2.952
-0.290 -3.111 -1.947
-8.497 -0.756 2.473
Pr Nd Pt
1 2 1
direct
0.500 0.500 0.500
0.000 0.000 0.809
0.000 0.000 0.191
0.500 0.500 0.000

HgTePt | Alexandria | PBE | optimized geometry; raw formation energy = -0.056 eV per atom; excess energy over the best structure of this formula in the dataset = 156 meV/atom
1.0
-3.828 1.056 -0.616
1.916 -2.274 -2.702
-1.610 -4.359 2.528
Hg Pt Te
1 1 1
direct
0.000 0.000 0.040
0.667 0.333 0.359
0.333 0.667 0.601

Mg2BeOs | Alexandria | PBE | optimized geometry; energy of formation = 88 kJ/mol of formula units
1.0
-0.957 -2.882 3.098
3.172 -1.768 2.372
0.443 1.079 4.178
Be Mg Os
1 2 1
direct
0.500 0.500 0.500
0.000 0.000 0.000
0.250 0.250 0.250
0.750 0.750 0.750

ErThSe2 | Alexandria | PBE | optimized geometry; raw formation energy = -1.237 eV per atom; excess energy over the best structure of this formula in the dataset = 381 meV/atom
1.0
-3.834 -1.168 0.935
-0.746 -2.458 -6.121
3.155 -8.080 2.855
Er Th Se
2 2 4
direct
0.201 0.794 0.274
0.701 0.295 0.942
0.201 0.938 0.682
0.701 0.437 0.534
0.701 0.538 0.202
0.701 0.663 0.805
0.201 0.163 0.411
0.201 0.038 0.014

CaGdGa2 | Alexandria | PBE | optimized geometry; energy of formation = -200 kJ/mol of formula units
1.0
-3.320 1.203 -0.765
-1.311 -1.814 2.836
1.149 5.908 4.309
Ca Gd Ga
1 1 2
direct
0.500 0.500 0.500
0.500 0.500 0.000
0.000 0.000 0.753
0.000 0.000 0.247

Ba2LaFe | Alexandria | PBE | optimized geometry; energy of formation = 259 kJ/mol of formula units; excess energy over the best structure of this formula in the dataset = 363 meV/atom
1.0
-1.417 -2.833 -3.848
4.777 -0.790 -1.178
0.070 -4.760 3.478
Ba Fe La
2 1 1
direct
0.000 0.000 0.000
0.500 0.500 0.000
0.500 0.000 0.500
0.000 0.500 0.500

Ru3Au | Alexandria | PBE | optimized geometry; energy of formation = 98 kJ/mol of formula units; excess energy over the best structure of this formula in the dataset = 83 meV/atom
1.0
9.275 -0.006 -0.003
8.868 2.717 -0.003
8.868 1.325 2.371
Au Ru
1 3
direct
0.000 0.000 0.000
0.244 0.244 0.244
0.500 0.500 0.500
0.756 0.756 0.756

Pr2Er6Tm3Pu | Alexandria | PBE | optimized geometry; energy of formation = 63 kJ/mol of formula units
1.0
6.119 -0.003 0.005
-3.061 5.299 0.005
-1.035 -1.792 11.464
Pr Er Tm Pu
2 6 3 1
direct
0.333 0.667 0.000
0.667 0.333 0.000
0.916 0.587 0.747
0.755 0.755 0.253
0.084 0.413 0.253
0.587 0.916 0.747
0.245 0.245 0.747
0.413 0.084 0.253
0.167 0.833 0.500
0.833 0.167 0.500
0.500 0.500 0.500
0.000 0.000 0.000

Ac4SnSb2 | Alexandria | PBE | optimized geometry; raw formation energy = -0.911 eV per atom
1.0
-3.356 7.768 -2.280
-2.009 -5.962 -6.100
-3.349 -2.461 7.715
Ac Sn Sb
8 2 4
direct
0.764 0.248 0.875
0.986 0.611 0.734
0.627 0.752 0.516
0.123 0.389 0.375
0.484 0.111 0.236
0.625 0.748 0.014
0.266 0.252 0.877
0.125 0.889 0.373
0.750 0.500 0.250
0.000 0.000 0.000
0.375 0.874 0.749
0.499 0.374 0.625
0.875 0.126 0.501
0.251 0.626 0.125

ZrMn2Ni2 | Alexandria | PBE | optimized geometry; energy of formation = 38 kJ/mol of formula units; excess energy over the best structure of this formula in the dataset = 123 meV/atom
1.0
7.070 0.000 0.000
0.000 7.070 0.000
0.000 0.000 2.609
Ni Mn Zr
4 4 2
direct
0.186 0.686 0.500
0.686 0.814 0.500
0.814 0.314 0.500
0.314 0.186 0.500
0.395 0.895 0.000
0.895 0.605 0.000
0.605 0.105 0.000
0.105 0.395 0.000
0.000 0.000 0.000
0.500 0.500 0.000

Th2SeS | Alexandria | PBE | optimized geometry; raw formation energy = -1.609 eV per atom; excess energy over the best structure of this formula in the dataset = 82 meV/atom
1.0
3.917 0.000 0.000
1.958 3.392 0.000
1.958 1.131 7.586
Th Se S
2 1 1
direct
0.077 0.077 0.769
0.257 0.257 0.229
0.499 0.499 0.502
0.667 0.667 0.000

Rb3SrCa2Cl9 | Alexandria | PBE | optimized geometry; raw formation energy = -2.238 eV per atom
1.0
-5.451 3.570 -4.236
-1.906 -6.064 4.472
-1.791 5.978 7.342
Rb Sr Ca Cl
3 1 2 9
direct
0.333 0.667 0.691
0.000 0.000 0.000
0.667 0.333 0.309
0.000 0.000 0.500
0.333 0.667 0.163
0.667 0.333 0.837
0.831 0.169 0.677
0.831 0.662 0.677
0.338 0.169 0.677
0.662 0.831 0.323
0.169 0.338 0.323
0.169 0.831 0.323
0.500 0.000 0.000
0.000 0.500 0.000
0.500 0.500 0.000

NaPmAgBr5 | Alexandria | PBE | optimized geometry; raw formation energy = -1.385 eV per atom
1.0
7.999 -0.722 -0.075
-3.026 7.440 -0.075
-2.110 -2.850 10.005
Na Pm Ag Br
2 2 2 10
direct
0.433 0.567 0.250
0.567 0.433 0.750
0.000 0.000 0.500
0.000 0.000 0.000
0.717 0.283 0.250
0.283 0.717 0.750
0.086 0.914 0.250
0.914 0.086 0.750
0.007 0.349 0.136
0.993 0.651 0.864
0.651 0.993 0.364
0.349 0.007 0.636
0.752 0.581 0.452
0.248 0.419 0.548
0.419 0.248 0.048
0.581 0.752 0.952

La6Pt2SeCl3 | Alexandria | PBE | optimized geometry; raw formation energy = -1.536 eV per atom
1.0
-2.224 -3.530 -0.223
5.924 -3.385 -5.502
4.518 -0.908 8.474
La Pt Se Cl
6 2 1 3
direct
0.334 0.899 0.668
0.670 0.559 0.341
0.666 0.101 0.332
0.002 0.247 0.004
0.998 0.753 0.996
0.330 0.441 0.659
0.835 0.672 0.671
0.165 0.328 0.329
0.500 0.000 0.000
0.500 0.500 0.000
0.834 0.165 0.669
0.166 0.835 0.331

Cs4KHg4 | Alexandria | PBE | optimized geometry; energy of formation = -159 kJ/mol of formula units; excess energy over the best structure of this formula in the dataset = 0 meV/atom
1.0
-2.375 2.913 -6.761
-1.509 -10.775 -4.113
-10.967 0.057 3.876
Cs K Hg
8 2 8
direct
0.372 0.301 0.925
0.872 0.575 0.801
0.372 0.699 0.075
0.128 0.199 0.575
0.628 0.925 0.699
0.128 0.801 0.425
0.872 0.425 0.199
0.628 0.075 0.301
0.000 0.000 0.000
0.500 0.500 0.500
0.642 0.747 0.359
0.642 0.253 0.641
0.142 0.859 0.753
0.858 0.247 0.859
0.858 0.753 0.141
0.358 0.359 0.253
0.358 0.641 0.747
0.142 0.141 0.247

Nd6Y3Tm | Alexandria | PBE | optimized geometry; energy of formation = 129 kJ/mol of formula units
1.0
-5.449 -0.011 -3.147
5.359 -3.421 -9.268
-4.175 -7.498 7.257
Nd Y Tm
12 6 2
direct
0.039 0.711 0.624
0.539 0.624 0.711
0.359 0.522 0.944
0.859 0.944 0.522
0.419 0.959 0.041
0.645 0.279 0.721
0.145 0.721 0.279
0.919 0.041 0.959
0.359 0.056 0.478
0.859 0.478 0.056
0.039 0.376 0.289
0.539 0.289 0.376
0.467 0.945 0.721
0.967 0.721 0.945
0.073 0.386 0.614
0.573 0.614 0.386
0.967 0.055 0.279
0.467 0.279 0.055
0.118 0.200 0.800
0.618 0.800 0.200